No. 1
## ScCdGa2 (PBE-GGA)

Data for an optimized crystal structure of ScCdGa2.

Cell: 7.5304 7.5304 5.9622 Å, 90.00 90.00 90.00°
Last column: nearest neighbours and their distance in Å.
Space group I-42d (No. 122)
Asymmetric unit:
Sc 0.0000 0.0000 0.0000  4 Ga 2.83, 2 Cd 2.98
Cd 0.0000 0.0000 0.5000  4 Ga 2.70, 2 Sc 2.98
Ga 0.2374 0.2500 0.6250  2 Cd 2.70, 2 Sc 2.83, 2 Ga 2.99

Output
- Size of the total moment: 0.000 μB per atom
- DOS(E_F): 9.79 states/eV/cell
- VASP energy: -54.9 eV/cell
- E_form: -0.11 eV per atom

***

No. 2
## Mn2AuBr (PBE-GGA)

Data for an optimized crystal structure of Mn2AuBr.

Cell: 3.4923 5.6836 8.0778 Å, 90.00 90.00 90.00°
Last column: nearest neighbours and their distance in Å.
Space group Immm (No. 71)
Asymmetric unit:
Mn 0.0000 0.0000 0.2475  2 Br 2.65, 2 Au 2.68
Au 0.0000 0.5000 0.0000  4 Mn 2.68
Br 0.0000 0.5000 0.5000  4 Mn 2.65

Output
- Energy relative to the elements, uncorrected: 0.362 eV per atom
- Size of the total moment: 2.153 μB per atom
- DOS(E_F): 4.41 states/eV/cell
- VASP energy: -43.7 eV/cell
- Energy above the most stable polymorph in this dataset: 114.7 kJ/mol of formula units

***

No. 3
## Nd2Sm3Tl4 (PBE-GGA)

Data for an optimized crystal structure of Nd2Sm3Tl4.

Cell: 7.3565 16.4156 9.4712 Å, 90.00 90.00 90.00°
Last column: nearest neighbours and their distance in Å.
Space group Cmce (No. 64)
Asymmetric unit:
Nd 0.0000 0.1082 0.0708  3 Tl 3.32-3.48
Sm 0.0000 0.0000 0.5000  6 Tl 3.03-3.12
Sm 0.2500 0.2167 0.7500  5 Tl 3.15-3.30
Tl 0.0000 0.1889 0.4654  5 Sm 3.12-3.30, 1 Nd 3.48
Tl 0.2500 0.0250 0.7500  3 Sm 3.03-3.15, 2 Nd 3.32

Output
- Size of the total moment: 0.000 μB per atom
- DOS(E_F): 27.69 states/eV/cell
- VASP energy: -141.2 eV/cell
- Energy above the most stable polymorph in this dataset: 64.2 kJ/mol of formula units
- E_form: -0.24 eV per atom

***

No. 4
## Nd7Sc2Cd2 (PBE-GGA)

Data for an optimized crystal structure of Nd7Sc2Cd2.

Cell: 6.6946 11.7954 9.2353 Å, 90.00 90.00 90.00°
Last column: nearest neighbours and their distance in Å.
Space group Cmmm (No. 65)
Asymmetric unit:
Nd 0.0000 0.0000 0.0000  2 Sc 3.29
Nd 0.0000 0.5000 0.2114  2 Sc 3.26, 2 Cd 3.29, 4 Nd 3.52
Nd 0.2500 0.2500 0.3117  5 Nd 3.35-3.52, 2 Sc 3.35, 2 Cd 3.43
Sc 0.0000 0.2792 0.0000  7 Nd 3.26-3.35, 2 Sc 3.42
Cd 0.2123 0.0000 0.5000  1 Cd 2.84

Output
- Size of the total moment: 0.000 μB per atom
- DOS(E_F): 33.64 states/eV/cell
- VASP energy: -91.4 eV/cell
- E_form: 0.20 eV per atom

***

No. 5
## PmNpRuPt (PBE-GGA)

Data for an optimized crystal structure of PmNpRuPt.

Cell: 6.9577 6.9577 6.9577 Å, 90.00 90.00 90.00°
Last column: nearest neighbours and their distance in Å.
Space group F-43m (No. 216)
Asymmetric unit:
Pm 0.0000 0.0000 0.0000  4 Ru 3.01, 4 Pt 3.01
Np 0.0000 0.0000 0.5000  4 Ru 3.01, 4 Pt 3.01
Ru 0.2500 0.2500 0.2500  4 Np 3.01, 4 Pm 3.01
Pt 0.2500 0.2500 0.7500  4 Pm 3.01, 4 Np 3.01

Output
- Size of the total moment: 0.842 μB per atom
- DOS(E_F): 25.50 states/eV/cell
- VASP energy: -137.5 eV/cell
- E_form: -0.34 eV per atom

***

No. 6
## BaZrCd (PBE-GGA)

Data for an optimized crystal structure of BaZrCd.

Cell: 3.5523 6.8120 8.6640 Å, 72.37 89.99 74.90°
Last column: nearest neighbours and their distance in Å.
Space group P-1 (No. 2)
Asymmetric unit:
Ba 0.0026 0.4956 0.2493  2 Ba 3.55, 5 Zr 3.59-3.87, 5 Cd 3.71-3.81
Zr 0.2898 0.9201 0.3916  2 Zr 3.00, 2 Cd 3.07
Cd 0.3030 0.8940 0.9082  2 Cd 3.00, 2 Zr 3.07

Output
- Size of the total moment: 0.000 μB per atom
- DOS(E_F): 7.53 states/eV/cell
- VASP energy: -21.7 eV/cell
- Energy above the most stable polymorph in this dataset: 27.9 kJ/mol of formula units
- E_form: 0.19 eV per atom

***

No. 7
## ZnCd5Ag (PBE-GGA)

Data for an optimized crystal structure of ZnCd5Ag.

Cell: 12.8982 7.3206 8.8832 Å, 90.00 133.40 90.00°
Last column: nearest neighbours and their distance in Å.
Space group C2/c (No. 15)
Asymmetric unit:
Zn 0.0000 0.0634 0.2500  5 Cd 2.78-2.81
Cd 0.0002 0.2225 0.5385  2 Zn 2.81, 6 Cd 2.98-3.08, 2 Ag 3.01
Cd 0.0000 0.4437 0.2500  1 Zn 2.78, 4 Cd 3.03-3.08
Cd 0.2363 0.4992 0.7356  2 Ag 2.88, 6 Cd 2.98-3.17
Ag 0.2500 0.2500 0.0000  8 Cd 2.88-3.01

Output
- Size of the total moment: 0.000 μB per atom
- DOS(E_F): 7.49 states/eV/cell
- VASP energy: -33.5 eV/cell
- Energy above the most stable polymorph in this dataset: 0.0 kJ/mol of formula units
- E_form: 0.05 eV per atom

***

No. 8
## Th2InGa2Ru5 (PBE-GGA)

Data for an optimized crystal structure of Th2InGa2Ru5.

Cell: 10.1039 10.1039 3.5596 Å, 90.00 90.00 90.00°
Last column: nearest neighbours and their distance in Å.
Space group P4/mbm (No. 127)
Asymmetric unit:
Th 0.1751 0.3249 0.0000  3 Ga 2.89-3.06, 6 Ru 3.07-3.13
In 0.0000 0.0000 0.0000  8 Ru 2.86
Ga 0.1227 0.6227 0.0000  6 Ru 2.50-2.51
Ru 0.0000 0.5000 0.5000  4 Ga 2.50
Ru 0.0729 0.7912 0.5000  2 Ga 2.51

Output
- Size of the total moment: 0.000 μB per atom
- DOS(E_F): 17.25 states/eV/cell
- VASP energy: -147.0 eV/cell
- E_form: -0.35 eV per atom

***

No. 9
## EuP3O9 (PBE-GGA)

Data for an optimized crystal structure of EuP3O9.

Cell: 8.6598 11.3063 7.3967 Å, 90.00 90.00 90.00°
Last column: nearest neighbours and their distance in Å.
Space group C222_1 (No. 20)
Asymmetric unit:
Eu 0.1265 0.0000 0.0000  6 O 2.40-2.47
P 0.0082 0.3250 0.5462  4 O 1.49-1.61
P 0.2493 0.0000 0.5000  4 O 1.51-1.60
O 0.0000 0.3734 0.7500  2 P 1.61
O 0.0210 0.1951 0.9651  1 P 1.49
O 0.1386 0.3912 0.0421  2 P 1.60-1.61
O 0.1542 0.0189 0.3312  1 P 1.51
O 0.1535 0.3729 0.4641  1 P 1.50

Output
- Energy relative to the elements, uncorrected: -2.334 eV per atom
- Size of the total moment: 0.459 μB per atom
- DOS(E_F): 67.87 states/eV/cell
- VASP energy: -405.9 eV/cell

***

No. 10
## AcZnGaPt2 (PBE-GGA)

Data for an optimized crystal structure of AcZnGaPt2.

Cell: 4.2915 4.2915 11.3680 Å, 90.00 90.00 90.00°
Last column: nearest neighbours and their distance in Å.
Space group I-4m2 (No. 119)
Asymmetric unit:
Ac 0.0000 0.0000 0.0000  8 Pt 3.33, 4 Ga 3.56, 4 Zn 3.56
Zn 0.0000 0.5000 0.2500  4 Pt 2.60
Ga 0.0000 0.5000 0.7500  4 Pt 2.60
Pt 0.0000 0.0000 0.3785  2 Zn 2.60, 2 Ga 2.60, 1 Pt 2.76

Output
- Size of the total moment: 0.000 μB per atom
- DOS(E_F): 4.30 states/eV/cell
- VASP energy: -49.9 eV/cell
- E_form: -0.89 eV per atom

***

No. 11
## Zn2CoCl (PBE-GGA)

Data for an optimized crystal structure of Zn2CoCl.

Cell: 6.2251 6.2251 6.2251 Å, 90.00 90.00 90.00°
Last column: nearest neighbours and their distance in Å.
Space group F-43m (No. 216)
Asymmetric unit:
Zn 0.0000 0.0000 0.0000  4 Co 2.70, 4 Zn 2.70
Zn 0.2500 0.2500 0.2500  4 Cl 2.70, 4 Zn 2.70
Co 0.2500 0.2500 0.7500  4 Cl 2.70, 4 Zn 2.70
Cl 0.0000 0.0000 0.5000  4 Zn 2.70, 4 Co 2.70

Output
- Energy relative to the elements, uncorrected: 0.501 eV per atom
- Size of the total moment: 0.000 μB per atom
- DOS(E_F): 2.46 states/eV/cell
- VASP energy: -38.0 eV/cell
- Energy above the most stable polymorph in this dataset: 217.2 kJ/mol of formula units

***

No. 12
## Ca2CdSbH (PBE-GGA)

Data for an optimized crystal structure of Ca2CdSbH.

Cell: 5.0381 5.0381 4.4449 Å, 90.00 90.00 90.00°
Last column: nearest neighbours and their distance in Å.
Space group P4/mmm (No. 123)
Asymmetric unit:
Ca 0.0000 0.5000 0.0000  2 H 2.52
Cd 0.0000 0.0000 0.5000  2 H 2.22
Sb 0.5000 0.5000 0.5000  8 Ca 3.36, 4 Cd 3.56
H 0.0000 0.0000 0.0000  2 Cd 2.22

Output
- Size of the total moment: 0.000 μB per atom
- DOS(E_F): 1.49 states/eV/cell
- VASP energy: -15.0 eV/cell